Compound: TlTc2BN
Source: Alexandria via LeMat-Bulk
Functional: GGA-PBE
Structure: relaxed

Calculated values
crystal system	tetragonal
total DFT energy (no corrections)	-32.726	eV per cell
mass density	10.53	g/cm3
formation energy without anion corrections	103.72	kJ/mol of atoms
magnetic moment	1.01	μB/f.u.

```
data_TlTc2BN
_space_group_name_H-M_alt 'P 4/m m m'
_space_group_IT_number 123
_space_group_name_Hall '-P 4 2'
_cell_length_a 4.7064
_cell_length_b 4.7064
_cell_length_c 3.0263
_cell_angle_alpha 90.00
_cell_angle_beta 90.00
_cell_angle_gamma 90.00
loop_
_atom_site_label
_atom_site_type_symbol
_atom_site_fract_x
_atom_site_fract_y
_atom_site_fract_z
Tl1 Tl 0.0000 0.0000 0.0000
Tc1 Tc 0.0000 0.5000 0.5000
B1 B 0.5000 0.5000 0.5000
N1 N 0.5000 0.5000 0.0000
```